Record 1
{
  "formula": "SrHg2CSe",
  "functional": "GGA-PBE",
  "state": "relaxed",
  "dos_at_fermi_per_ev_fu": 4.74,
  "dft_energy_ev_per_atom": -1.752,
  "e_form_raw_ev_per_atom": 1.2463,
  "volume_a3_per_atom": 41.49,
  "cell": [[6.5112, 0.0000, 0.0000], [0.0000, 6.5112, 0.0000], [0.0000, 0.0000, 4.8932]],
  "species": ["Sr", "Hg", "Hg", "C", "Se"],
  "frac_coords": [[0.0000, 0.0000, 0.0000], [0.0000, 0.5000, 0.0000], [0.5000, 0.0000, 0.0000], [0.0000, 0.0000, 0.5000], [0.5000, 0.5000, 0.5000]]
}



Record 2
{
  "formula": "Tb8Hg4CSe3",
  "functional": "GGA-PBE",
  "state": "relaxed",
  "dos_at_fermi_per_ev_fu": 8.83,
  "dft_energy_ev_per_atom": -4.545,
  "e_form_raw_ev_per_atom": -0.9245,
  "volume_a3_per_atom": 25.71,
  "cell": [[6.8460, -3.9484, 0.0000], [6.8460, 3.9484, 0.0000], [-4.5715, 0.0000, 7.6076]],
  "species": ["Tb", "Tb", "Tb", "Tb", "Tb", "Tb", "Tb", "Tb", "Hg", "Hg", "Hg", "Hg", "C", "Se", "Se", "Se"],
  "frac_coords": [[0.2166, 0.2166, 0.7035], [0.2168, 0.7703, 0.7037], [0.2297, 0.7832, 0.2963], [0.2585, 0.2585, 0.2756], [0.7415, 0.7415, 0.7244], [0.7703, 0.2168, 0.7037], [0.7832, 0.2297, 0.2963], [0.7834, 0.7834, 0.2965], [0.0000, 0.0000, 0.0000], [0.0000, 0.5000, 0.0000], [0.5000, 0.0000, 0.0000], [0.5000, 0.5000, 0.0000], [0.0000, 0.0000, 0.5000], [0.0000, 0.5000, 0.5000], [0.5000, 0.0000, 0.5000], [0.5000, 0.5000, 0.5000]]
}



Record 3
{
  "formula": "Th6HgC3Se2",
  "functional": "GGA-PBE",
  "state": "relaxed",
  "dos_at_fermi_per_ev_fu": 7.94,
  "dft_energy_ev_per_atom": -7.397,
  "e_form_raw_ev_per_atom": -0.7755,
  "volume_a3_per_atom": 23.35,
  "cell": [[9.1567, -1.9243, 0.0000], [9.1567, 1.9243, 0.0000], [-3.0961, 0.0000, 7.9496]],
  "species": ["Th", "Th", "Th", "Th", "Th", "Th", "Hg", "C", "C", "C", "Se", "Se"],
  "frac_coords": [[0.0149, 0.0149, 0.2122], [0.3202, 0.3202, 0.4494], [0.3427, 0.3427, 0.8941], [0.6573, 0.6573, 0.1059], [0.6798, 0.6798, 0.5506], [0.9851, 0.9851, 0.7878], [0.5000, 0.5000, 0.5000], [0.1686, 0.1686, 0.3276], [0.5000, 0.5000, 0.0000], [0.8314, 0.8314, 0.6724], [0.1638, 0.1638, 0.8257], [0.8362, 0.8362, 0.1743]]
}



Record 4
{
  "formula": "Tm8Hg3CSe3",
  "functional": "GGA-PBE",
  "state": "relaxed",
  "dos_at_fermi_per_ev_fu": 9.20,
  "dft_energy_ev_per_atom": -4.622,
  "e_form_raw_ev_per_atom": -0.8650,
  "volume_a3_per_atom": 26.04,
  "cell": [[3.8806, 2.2404, 7.4873], [-3.8806, 2.2404, 7.4873], [0.0000, -4.4809, 7.4873]],
  "species": ["Tm", "Tm", "Tm", "Tm", "Tm", "Tm", "Tm", "Tm", "Hg", "Hg", "Hg", "C", "Se", "Se", "Se"],
  "frac_coords": [[0.2424, 0.2424, 0.2424], [0.2804, 0.7117, 0.7117], [0.2883, 0.2883, 0.7196], [0.2883, 0.7196, 0.2883], [0.7117, 0.2804, 0.7117], [0.7117, 0.7117, 0.2804], [0.7196, 0.2883, 0.2883], [0.7576, 0.7576, 0.7576], [0.0000, 0.5000, 0.5000], [0.5000, 0.0000, 0.5000], [0.5000, 0.5000, 0.0000], [0.5000, 0.5000, 0.5000], [0.0000, 0.0000, 0.5000], [0.0000, 0.5000, 0.0000], [0.5000, 0.0000, 0.0000]]
}



- Which formula does entry 4 have?
  Tm8Hg3CSe3